Material: Pr2Te4O11
Method: DFT, SCAN
State: PBEsol geometry

POSCAR file:
```
Pr2Te4O11
1.0
6.2959 -2.6143 0.0000
6.2959 2.6143 0.0000
-4.4768 0.0000 15.6511
Pr Te O
4 8 22
Direct
0.1257 0.6380 0.9623
0.3620 0.8743 0.5377
0.6380 0.1257 0.4623
0.8743 0.3620 0.0377
0.0896 0.6558 0.6304
0.1040 0.6502 0.2960
0.3442 0.9104 0.8696
0.3498 0.8960 0.2040
0.6502 0.1040 0.7960
0.6558 0.0896 0.1304
0.8960 0.3498 0.7040
0.9104 0.3442 0.3696
0.0655 0.8849 0.3981
0.1151 0.9345 0.1019
0.1673 0.2477 0.9424
0.1797 0.3184 0.6312
0.2477 0.1673 0.4424
0.2916 0.4057 0.8261
0.3087 0.5492 0.5478
0.3184 0.1797 0.1312
0.3624 0.6376 0.2500
0.4057 0.2916 0.3261
0.4508 0.6913 0.9522
0.5492 0.3087 0.0478
0.5943 0.7084 0.6739
0.6376 0.3624 0.7500
0.6816 0.8203 0.8688
0.6913 0.4508 0.4522
0.7084 0.5943 0.1739
0.7523 0.8327 0.5576
0.8203 0.6816 0.3688
0.8327 0.7523 0.0576
0.8849 0.0655 0.8981
0.9345 0.1151 0.6019
```

Values from the calculation:
DOS(E_F): 0.000 states/eV per cell
total magnetization: 0.0 μB/cell
energy: -19.884 eV per atom
V: 15.2 A^3/atom